The following is a DFT calculation (SCAN) of RuAuSe2S at its PBEsol-relaxed geometry.

a b c (Å): 4.805 4.805 4.280
angles (deg): 90.00 90.00 90.00
Space group P4/mmm (No. 123)
Unique sites:
Ru1 0.000 0.000 0.000 x1
Au1 0.500 0.500 0.000 x1
Se1 0.000 0.500 0.500 x2
S1 0.000 0.000 0.500 x1

Computed properties:
As for the total energy: -29.763 eV per atom. The crystal system is tetragonal.